Density functional theory data (PBE) for an optimized crystal structure of SiSb3Ir.

## Properties
Raw formation energy   1.17 eV/atom
Symmetry   No. 221
D(E_F)   0.7018 states/eV per atom
Polymorph energy (0 for the lowest one)   398 meV/atom

Unit cell a=5.0051 b=5.0051 c=5.0051 alpha=90.00 beta=90.00 gamma=90.00
Last column: nearest neighbours and their distance in Å.
Fractional positions:
Si  0.0000  0.0000  0.0000  6 Sb 2.50
Sb  0.0000  0.0000  0.5000  2 Si 2.50
Sb  0.0000  0.5000  0.0000  2 Si 2.50
Sb  0.5000  0.0000  0.0000  2 Si 2.50
Ir  0.5000  0.5000  0.5000  12 Sb 3.54